[1]
Here is TbSmRh after structural relaxation from Alexandria. Energies are from PBE-GGA.

POSCAR file:
```
TbSmRh
1.0
-3.376 -0.946 3.371
-0.076 -4.327 2.219
1.270 -0.355 4.681
Rh Tb Sm
1 1 1
direct
0.250 0.250 0.250
0.500 0.500 0.500
0.000 0.000 0.000
```

For the offset from the most stable computed form, the calculation gives 92 meV per atom. Its space-group type is F-43m.



[2]
Here is Tb2SmRh9 after structural relaxation from Alexandria. Energies are from PBE-GGA.

POSCAR file:
```
Tb2SmRh9
1.0
-2.098 4.842 -0.179
-5.238 0.618 0.247
-1.970 2.351 8.778
Tb Sm Rh
2 1 9
direct
0.861 0.861 0.417
0.139 0.139 0.583
0.000 0.000 0.000
0.667 0.667 0.999
0.333 0.333 0.001
0.500 0.500 0.500
0.417 0.417 0.248
0.917 0.417 0.248
0.417 0.917 0.248
0.583 0.583 0.752
0.583 0.083 0.752
0.083 0.583 0.752
```

Its space-group type is R-3m.



Number 1: total energy -18.3 eV per cell, calculated formation energy -0.528 eV per atom. Number 2: total energy -86.9 eV per cell, calculated formation energy -0.560 eV per atom.